The following is a DFT calculation (meta-GGA SCAN) of TlIrCl2 at its PBEsol-relaxed geometry.

Properties
- energy relative to the elements, uncorrected (eV per atom) = 0.79
- Fermi-level density of states (states/eV per atom) = 1.351
- calculated volume (Å³/atom) = 18.75
- energy above the most stable polymorph in this dataset (eV per atom) = 1.062

Cell lengths 4.7332, 4.7332, 4.7332 Å; angles 60.00, 60.00, 60.00 degrees
With the nearest neighbours (Å) after each atom.
Positions (direct):
Tl 0.0000 0.0000 0.0000  4 Ir 2.90, 4 Cl 2.90
Ir 0.2500 0.2500 0.2500  4 Cl 2.90, 4 Tl 2.90
Cl 0.5000 0.5000 0.5000  4 Cl 2.90, 4 Ir 2.90
Cl 0.7500 0.7500 0.7500  4 Cl 2.90, 4 Tl 2.90

=====

The following is a DFT calculation (meta-GGA SCAN) of TlIrCl2 at its PBEsol-relaxed geometry.

Properties
- energy relative to the elements, uncorrected (eV per atom) = -0.27
- Fermi-level density of states (states/eV per atom) = 0.165
- calculated volume (Å³/atom) = 23.74
- energy above the most stable polymorph in this dataset (eV per atom) = 0.000

Cell lengths 5.5814, 5.5814, 3.5147 Å; angles 90.00, 90.00, 119.84 degrees
With the nearest neighbours (Å) after each atom.
Positions (direct):
Tl 0.0000 0.0000 0.0000  2 Ir 2.80
Ir 0.5000 0.5000 0.0000  4 Cl 2.34
Cl 0.3406 0.6594 0.5000  2 Ir 2.34
Cl 0.6594 0.3406 0.5000  2 Ir 2.34

=====

The following is a DFT calculation (meta-GGA SCAN) of IrW2Cl at its PBEsol-relaxed geometry.

Properties
- energy relative to the elements, uncorrected (eV per atom) = 0.35
- Fermi-level density of states (states/eV per atom) = 0.521
- calculated volume (Å³/atom) = 15.88
- energy above the most stable polymorph in this dataset (eV per atom) = 0.000

Cell lengths 2.8266, 2.8266, 7.9508 Å; angles 90.00, 90.00, 90.00 degrees
With the nearest neighbours (Å) after each atom.
Positions (direct):
Ir 0.0000 0.0000 0.0000  4 W 2.62, 4 Ir 2.83
W 0.0000 0.0000 0.4741  4 Cl 2.58, 4 W 2.83
W 0.5000 0.5000 0.2122  4 Ir 2.62, 8 W 2.83-2.89
Cl 0.5000 0.5000 0.6784  4 W 2.58, 4 Cl 2.83